PBE In2CoAs, relaxed; ΔH_f (0 K) = 0.03 eV per atom; V = 20.53 Å³/atom
1.0
-2.5905 -2.3518 7.5030
0.5446 -3.7484 7.3614
0.1706 -0.4554 8.2644
As Co In
1 1 2
Cartesian
-0.8933 -3.1227 11.0172 As
-1.4281 -4.9925 17.6143 Co
-0.0333 -0.1165 0.4112 In
-0.4581 -1.6016 5.6506 In


PBE AcZnRe, relaxed; ΔH_f (0 K) = 0.29 eV per atom; V = 24.55 Å³/atom
1.0
-3.5790 -0.2894 1.4501
-0.8384 -2.0868 -2.4855
2.8548 -9.8821 5.0738
Ac Zn Re
2 2 2
Cartesian
1.1342 -7.7249 3.8430 Ac
-2.6968 -4.5334 0.1954 Ac
-1.0959 -1.7044 -0.4595 Zn
-0.4667 -10.5539 4.4979 Zn
-1.8148 -6.9145 1.8971 Re
0.2522 -5.3438 2.1413 Re


PBE TlCd3W, relaxed; ΔH_f (0 K) = 1.03 eV per atom; V = 32.03 Å³/atom
1.0
-1.3700 -0.7385 -5.2028
4.9888 -1.8725 -1.0478
-1.6514 -5.0438 1.1508
Tl W Cd
1 1 3
Cartesian
0.9837 -3.8274 -2.5499 Tl
0.0000 0.0000 0.0000 W
2.4944 -0.9362 -0.5239 Cd
-0.8257 -2.5219 0.5754 Cd
-0.6850 -0.3693 -2.6014 Cd


PBE Ac2AgPt9, relaxed; ΔH_f (0 K) = -0.55 eV per atom; V = 19.78 Å³/atom
1.0
-4.1002 -3.3331 1.6667
1.1708 -4.9712 2.1482
-0.5986 0.8456 9.4282
Ac Ag Pt
2 1 9
Cartesian
-2.7774 -6.8499 7.0976 Ac
-0.7507 -0.6088 6.1454 Ac
0.0000 0.0000 0.0000 Ag
-2.5527 -4.7020 11.9458 Pt
-0.9753 -2.7567 1.2973 Pt
-1.7640 -3.7293 6.6215 Pt
-1.3663 -3.2456 3.9141 Pt
-3.4380 -4.9296 4.7562 Pt
-0.7748 -5.7573 4.9995 Pt
-2.1617 -4.2131 9.3289 Pt
-2.7533 -1.7013 8.2435 Pt
-0.0900 -2.5290 8.4868 Pt


PBE Tl3PtSe, relaxed; V = 30.32 Å³/atom; uncorrected formation energy = -0.125 eV/atom
1.0
-2.8599 4.4808 0.4218
-3.2243 -2.3885 3.5119
3.1400 1.6284 3.9904
Tl Se Pt
3 1 1
Cartesian
-1.6122 -1.1943 1.7559 Tl
1.5700 0.8142 1.9952 Tl
-1.4299 2.2404 0.2109 Tl
-1.4721 1.8604 3.9620 Se
0.0000 0.0000 0.0000 Pt


PBE Tb3Sc4Rh4, relaxed; ΔH_f (0 K) = -0.70 eV per atom; V = 21.63 Å³/atom
1.0
3.7791 0.0000 0.0000
0.0000 8.4362 0.0000
-1.8895 -4.2181 7.4629
Tb Sc Rh
3 4 4
Cartesian
0.0000 0.0000 1.6153 Tb
1.8895 4.2181 5.8476 Tb
0.0000 4.2181 0.0000 Tb
0.0000 -1.5945 4.9570 Sc
1.8895 2.6236 2.5058 Sc
1.8895 5.8125 2.5058 Sc
0.0000 1.5945 4.9570 Sc
0.0000 4.2181 3.5201 Rh
1.8895 0.0000 3.9428 Rh
1.8895 6.6756 0.0000 Rh
1.8895 1.7606 0.0000 Rh


PBE NaBe2B, relaxed; ΔH_f (0 K) = 0.16 eV per atom; V = 12.63 Å³/atom
1.0
3.9662 0.0035 -0.0455
0.8892 5.0046 0.0351
1.5607 0.5948 5.0785
Na B Be
2 2 4
Cartesian
4.7881 4.9621 3.0927 Na
2.6716 2.5824 3.3920 Na
2.9757 1.7245 0.6931 B
2.0754 0.1883 0.6780 B
4.0105 0.1675 0.3153 Be
2.0092 3.4908 0.6631 Be
3.9313 3.4267 0.7441 Be
1.0418 1.7450 1.0539 Be


PBE IrRu2Cl, relaxed; V = 16.41 Å³/atom; uncorrected formation energy = 0.640 eV/atom
1.0
-0.2488 -0.6790 -2.6982
-2.8655 -1.9224 0.7480
-3.8421 5.3418 -0.9900
Cl Ir Ru
1 1 2
Cartesian
-1.8268 2.5399 -0.4707 Cl
-4.6585 3.0113 -1.7743 Ir
-0.0384 0.0533 -0.0099 Ru
-2.3537 -0.1932 -1.1804 Ru


PBE Nd8Dy2Y, relaxed; ΔH_f (0 K) = 0.20 eV per atom; V = 35.19 Å³/atom
1.0
7.9868 1.5743 3.0054
2.9732 7.5521 4.5548
2.4737 2.1531 8.7101
Nd Dy Y
8 2 1
Cartesian
4.6796 4.7692 9.4641 Nd
8.5135 3.9095 8.8079 Nd
6.3955 7.6463 10.7037 Nd
7.0383 3.6332 5.5666 Nd
4.9202 7.3700 7.4624 Nd
8.7541 6.5103 6.8063 Nd
9.5106 7.1244 10.4001 Nd
3.9231 4.1550 5.8703 Nd
8.9163 9.1403 12.9479 Dy
4.5174 2.1392 3.3225 Dy
0.0000 0.0000 0.0000 Y


PBE Cs4ZnO3, relaxed; V = 28.11 Å³/atom; uncorrected formation energy = -1.178 eV/atom
1.0
7.1745 -0.0183 0.0000
-3.2364 6.5417 0.0000
0.0000 0.0000 19.1903
Cs Zn O
16 4 12
Cartesian
-0.2519 5.5426 17.7096 Cs
0.6028 0.9899 8.1144 Cs
4.1900 0.9808 1.4807 Cs
3.3353 5.5334 11.0759 Cs
-0.1861 5.1293 5.8881 Cs
0.5370 1.4032 15.4833 Cs
4.1242 1.3940 13.3022 Cs
3.4011 5.1202 3.7070 Cs
-0.2236 4.6469 9.5914 Cs
0.5744 1.8856 19.1865 Cs
4.1617 1.8765 9.5990 Cs
3.3636 4.6377 0.0038 Cs
0.9300 2.1769 3.7152 Cs
-0.5792 4.3556 13.3103 Cs
3.0081 4.3465 15.4751 Cs
4.5172 2.1677 5.8800 Cs
-0.7850 4.6690 2.2348 Zn
1.1359 1.8635 11.8300 Zn
4.7231 1.8543 16.9555 Zn
2.8022 4.6598 7.3603 Zn
-1.7442 6.2820 1.7699 O
2.0950 0.2505 11.3650 O
5.6823 0.2413 17.4204 O
1.8431 6.2728 7.8253 O
1.1144 4.5156 1.8857 O
-0.7635 2.0169 11.4809 O
2.8237 2.0077 17.3046 O
4.7016 4.5064 7.7094 O
1.8819 3.2263 6.4208 O
-1.5310 3.3062 16.0160 O
2.0562 3.2971 12.7695 O
5.4691 3.2171 3.1743 O


PBE RbLiBS2, relaxed; V = 22.97 Å³/atom; uncorrected formation energy = -0.558 eV/atom
1.0
-0.6967 0.7746 -4.6760
-5.3546 -4.8127 0.0006
-2.9861 6.0576 1.4484
Rb Li B S
2 2 2 4
Cartesian
-5.1007 2.3413 -0.1472 Rb
-3.9367 -0.3217 -3.0797 Rb
-1.1092 1.9176 -2.0718 Li
-2.5736 4.9147 -1.1558 Li
0.0000 0.0000 0.0000 B
-1.4930 3.0288 0.7242 B
-7.6594 2.3642 -2.2327 S
-3.2434 3.0981 -2.7691 S
-5.7940 -1.0786 -0.4579 S
-1.3780 -0.3447 -0.9943 S


PBE LiMgSc2, relaxed; ΔH_f (0 K) = 0.04 eV per atom; V = 22.95 Å³/atom
1.0
3.2063 0.0452 0.0000
-0.0643 3.2060 0.0000
0.0000 0.0000 8.9279
Sc Mg Li
2 1 1
Cartesian
0.0000 0.0000 8.9182 Sc
1.5710 1.6256 2.2644 Sc
1.5710 1.6256 6.5676 Mg
0.0000 0.0000 4.5695 Li


Raw total energy values (in eV per atom) by entry order: -4.275, -5.650, -2.583, -6.005, -3.450, -6.935, -3.705, -6.675, -4.688, -3.623, -4.121, -4.005.
Ρ values (in g cm⁻³) by entry order: 7.3, 10.8, 7.5, 16.2, 9.7, 7.5, 1.7, 10.9, 6.7, 4.8, 2.4, 2.2.